## ThZn4Sn (PBE)

Data for crystalline ThZn4Sn at its relaxed geometry.

abc: 5.558 5.558 5.558
angles: 60.00 60.00 60.00
Positions (direct):
Zn: 0.625 0.625 0.124
Zn: 0.625 0.124 0.625
Zn: 0.625 0.625 0.625
Zn: 0.124 0.625 0.625
Sn: 0.000 0.000 0.000
Th: 0.250 0.250 0.250

## Properties
Theoretical density: 8.4 g/cm³
Calculated formation energy: -0.0691 eV per atom
Total DFT energy (no corrections): -2.822 eV/atom
Symmetry: F-43m